Record 1
This record from the Alexandria database describes an optimized crystal structure of Dy6TeP3S2. The functional is PBE.

Values from the calculation:
* density of states at the Fermi level: 3.94 states/eV per cell
* ΔE_f (raw): -1.7335 eV per atom

Unit cell a=4.0190 b=8.1352 c=9.0563 alpha=103.70 beta=102.82 gamma=90.00
Last column: nearest neighbours and their distance in Å.
Atoms (fractional coordinates):
Dy: 0.3235 0.9189 0.6469  3 P 2.73-2.83, 2 S 2.91, 1 Te 3.03
Dy: 0.6649 0.5884 0.3299  3 P 2.82-2.83, 3 S 2.85-2.89
Dy: 0.6765 0.0811 0.3531  3 P 2.73-2.83, 2 S 2.91, 1 Te 3.03
Dy: 0.9990 0.2754 0.9980  3 P 2.71-2.80, 1 S 2.91, 2 Te 3.01
Dy: 0.0010 0.7246 0.0020  3 P 2.71-2.80, 1 S 2.91, 2 Te 3.01
Dy: 0.3351 0.4116 0.6701  3 P 2.82-2.83, 3 S 2.85-2.89
Te: 0.5000 0.0000 0.0000  6 Dy 3.01-3.03
P: 0.5000 0.5000 0.0000  6 Dy 2.71-2.83
P: 0.8356 0.1691 0.6712  6 Dy 2.73-2.83
P: 0.1644 0.8309 0.3288  6 Dy 2.73-2.83
S: 0.8315 0.6653 0.6630  6 Dy 2.85-2.91
S: 0.1685 0.3347 0.3370  6 Dy 2.85-2.91

Record 2
This record from the Alexandria database describes an optimized crystal structure of Be2AlGa2Cu5. The functional is PBE.

Values from the calculation:
* density of states at the Fermi level: 6.29 states/eV per cell
* energy relative to the elements: -0.043 eV/atom

Unit cell a=3.7272 b=8.1523 c=8.1523 alpha=90.00 beta=90.00 gamma=90.00
Last column: nearest neighbours and their distance in Å.
Atoms (fractional coordinates):
Be: 0.0000 0.1148 0.6148  6 Cu 2.29-2.39, 3 Ga 2.39-2.44
Be: 0.0000 0.8852 0.3852  6 Cu 2.29-2.39, 3 Ga 2.39-2.44
Be: 0.0000 0.6148 0.8852  6 Cu 2.29-2.39, 3 Ga 2.39-2.44
Be: 0.0000 0.3852 0.1148  6 Cu 2.29-2.39, 3 Ga 2.39-2.44
Al: 0.0000 0.0000 0.0000  8 Cu 2.58
Al: 0.0000 0.5000 0.5000  8 Cu 2.58
Ga: 0.0000 0.6777 0.1777  3 Be 2.39-2.44
Ga: 0.0000 0.3223 0.8223  3 Be 2.39-2.44
Ga: 0.0000 0.1777 0.3223  3 Be 2.39-2.44
Ga: 0.0000 0.8223 0.6777  3 Be 2.39-2.44
Cu: 0.5000 0.2041 0.0802  2 Be 2.39, 4 Cu 2.49-2.53, 2 Al 2.58
Cu: 0.5000 0.7959 0.9198  2 Be 2.39, 4 Cu 2.49-2.53, 2 Al 2.58
Cu: 0.5000 0.0802 0.7959  2 Be 2.39, 4 Cu 2.49-2.53, 2 Al 2.58
Cu: 0.5000 0.7041 0.4198  2 Be 2.39, 4 Cu 2.49-2.53, 2 Al 2.58
Cu: 0.5000 0.9198 0.2041  2 Be 2.39, 4 Cu 2.49-2.53, 2 Al 2.58
Cu: 0.5000 0.2959 0.5802  2 Be 2.39, 4 Cu 2.49-2.53, 2 Al 2.58
Cu: 0.5000 0.5802 0.7041  2 Be 2.39, 4 Cu 2.49-2.53, 2 Al 2.58
Cu: 0.5000 0.4198 0.2959  2 Be 2.39, 4 Cu 2.49-2.53, 2 Al 2.58
Cu: 0.5000 0.5000 0.0000  4 Be 2.29, 4 Cu 2.50
Cu: 0.5000 0.0000 0.5000  4 Be 2.29, 4 Cu 2.50

Record 3
This record from the Alexandria database describes an optimized crystal structure of LaTaRe2. The functional is PBE.

Values from the calculation:
* density of states at the Fermi level: 4.39 states/eV per cell
* distance to the lowest polymorph of the same formula: 0.0000 eV/atom
* energy relative to the elements: 0.223 eV/atom

Unit cell a=3.2498 b=3.2498 c=7.4390 alpha=90.00 beta=90.00 gamma=90.00
Last column: nearest neighbours and their distance in Å.
Atoms (fractional coordinates):
La: 0.5000 0.5000 0.7500  8 Re 3.20, 4 La 3.25
Re: 0.0000 0.0000 0.0496  4 Ta 2.74, 1 Re 2.98
Re: 0.0000 0.0000 0.4504  4 Ta 2.74, 1 Re 2.98
Ta: 0.5000 0.5000 0.2500  8 Re 2.74

Record 4
This record from the Alexandria database describes an optimized crystal structure of NaLaTi4O12. The functional is PBE.

Values from the calculation:
* density of states at the Fermi level: 6.70 states/eV per cell
* ΔE_f (raw): -2.4647 eV per atom

Unit cell a=5.4621 b=5.4621 c=7.8965 alpha=90.00 beta=90.00 gamma=90.01
Last column: nearest neighbours and their distance in Å.
Atoms (fractional coordinates):
Na: 0.0006 0.9994 0.5000  12 O 2.72-2.89
La: 0.5004 0.4996 0.0000  12 O 2.64-2.75
Ti: 0.0004 0.4991 0.7375  6 O 1.88-2.07
Ti: 0.0004 0.4991 0.2625  6 O 1.88-2.07
Ti: 0.5009 0.9996 0.2625  6 O 1.88-2.07
Ti: 0.5009 0.9996 0.7375  6 O 1.88-2.07
O: 0.2554 0.2543 0.7643  2 Ti 1.94
O: 0.7457 0.7446 0.7643  2 Ti 1.94
O: 0.7457 0.7446 0.2357  2 Ti 1.94
O: 0.2554 0.2543 0.2357  2 Ti 1.94
O: 0.7442 0.2558 0.7666  2 Ti 1.94
O: 0.2562 0.7438 0.7623  2 Ti 1.94
O: 0.2562 0.7438 0.2377  2 Ti 1.94
O: 0.7442 0.2558 0.2334  2 Ti 1.94
O: 0.0031 0.5012 0.0000  2 Ti 2.07
O: 0.9985 0.4965 0.5000  2 Ti 1.88
O: 0.4988 0.9969 0.0000  2 Ti 2.07
O: 0.5035 0.0015 0.5000  2 Ti 1.88

Record 5
This record from the Alexandria database describes an optimized crystal structure of K2ErTmTe4. The functional is PBE.

Values from the calculation:
* ΔE_f (raw): -1.3767 eV per atom

Unit cell a=4.4595 b=7.7224 c=8.6277 alpha=107.34 beta=90.00 gamma=90.00
Last column: nearest neighbours and their distance in Å.
Atoms (fractional coordinates):
K: 0.5000 0.0000 0.5000  6 Te 3.53
K: 0.0000 0.5000 0.5000  6 Te 3.53-3.54
Er: 0.5000 0.5000 0.0000  6 Te 3.09
Tm: 0.0000 0.0000 0.0000  6 Te 3.08
Te: 0.5000 0.2344 0.2062  2 Tm 3.08, 1 Er 3.09
Te: 0.5000 0.7656 0.7938  2 Tm 3.08, 1 Er 3.09
Te: 0.0000 0.2638 0.7934  1 Tm 3.08, 2 Er 3.09
Te: 0.0000 0.7362 0.2066  1 Tm 3.08, 2 Er 3.09

Record 6
This record from the Alexandria database describes an optimized crystal structure of AcPm3Dy4. The functional is PBE.

Values from the calculation:
* density of states at the Fermi level: 29.10 states/eV per cell
* distance to the lowest polymorph of the same formula: 0.0000 eV/atom
* energy relative to the elements: 0.041 eV/atom

Unit cell a=6.3604 b=7.4012 c=11.6875 alpha=90.00 beta=90.00 gamma=90.00
Last column: nearest neighbours and their distance in Å.
Atoms (fractional coordinates):
Ac: 0.9901 0.1259 0.0000  6 Pm 3.63-3.76, 6 Dy 3.64-3.76
Ac: 0.4901 0.8741 0.5000  6 Pm 3.63-3.76, 6 Dy 3.64-3.76
Pm: 0.4816 0.8668 0.0000  6 Dy 3.58-3.82, 4 Pm 3.64-3.65, 2 Ac 3.67-3.76
Pm: 0.1441 0.8699 0.2525  6 Dy 3.60-3.78, 2 Ac 3.63-3.64, 4 Pm 3.64-3.72
Pm: 0.6441 0.1301 0.2475  6 Dy 3.60-3.78, 2 Ac 3.63-3.64, 4 Pm 3.64-3.72
Pm: 0.9816 0.1332 0.5000  6 Dy 3.58-3.82, 4 Pm 3.64-3.65, 2 Ac 3.67-3.76
Pm: 0.6441 0.1301 0.7525  6 Dy 3.60-3.78, 2 Ac 3.63-3.64, 4 Pm 3.64-3.72
Pm: 0.1441 0.8699 0.7475  6 Dy 3.60-3.78, 2 Ac 3.63-3.64, 4 Pm 3.64-3.72
Dy: 0.9792 0.6220 0.0000  6 Dy 3.58-3.65, 4 Pm 3.63-3.67, 2 Ac 3.67-3.73
Dy: 0.4812 0.3831 0.0000  6 Dy 3.54-3.65, 4 Pm 3.58-3.82, 2 Ac 3.66-3.76
Dy: 0.1475 0.3805 0.2523  6 Dy 3.54-3.64, 5 Pm 3.58-3.78, 1 Ac 3.64
Dy: 0.6475 0.6195 0.2477  6 Dy 3.54-3.64, 5 Pm 3.58-3.78, 1 Ac 3.64
Dy: 0.9812 0.6169 0.5000  6 Dy 3.54-3.65, 4 Pm 3.58-3.82, 2 Ac 3.66-3.76
Dy: 0.4792 0.3780 0.5000  6 Dy 3.58-3.65, 4 Pm 3.63-3.67, 2 Ac 3.67-3.73
Dy: 0.6475 0.6195 0.7523  6 Dy 3.54-3.64, 5 Pm 3.58-3.78, 1 Ac 3.64
Dy: 0.1475 0.3805 0.7477  6 Dy 3.54-3.64, 5 Pm 3.58-3.78, 1 Ac 3.64

Record 7
This record from the Alexandria database describes an optimized crystal structure of NdTmSb. The functional is PBE.

Values from the calculation:
* density of states at the Fermi level: 7.66 states/eV per cell
* ΔE_f (raw): -0.4946 eV per atom

Unit cell a=5.0348 b=4.1538 c=9.4484 alpha=90.00 beta=90.00 gamma=90.00
Last column: nearest neighbours and their distance in Å.
Atoms (fractional coordinates):
Nd: 0.5000 0.4998 0.2500  4 Sb 3.26, 4 Tm 3.45
Nd: 0.5000 0.5002 0.7500  4 Sb 3.26, 4 Tm 3.45
Sb: 0.0000 0.0001 0.7500  4 Tm 3.14-3.15, 4 Nd 3.26
Sb: 0.0000 0.9999 0.2500  4 Tm 3.14-3.15, 4 Nd 3.26
Tm: 0.0000 0.5000 0.5000  4 Sb 3.14-3.15, 4 Nd 3.45
Tm: 0.0000 0.5000 0.0000  4 Sb 3.14-3.15, 4 Nd 3.45

Record 8
This record from the Alexandria database describes an optimized crystal structure of HgP2O6. The functional is PBE.

Values from the calculation:
* density of states at the Fermi level: 0.00 states/eV per cell
* ΔE_f (raw): -1.7183 eV per atom

Unit cell a=4.9690 b=7.4167 c=7.4167 alpha=85.51 beta=76.83 gamma=76.83
Last column: nearest neighbours and their distance in Å.
Atoms (fractional coordinates):
Hg: 0.2500 0.1493 0.8507  4 O 2.25-2.30
Hg: 0.7500 0.8507 0.1493  4 O 2.25-2.30
P: 0.2534 0.6364 0.8031  4 O 1.49-1.62
P: 0.2466 0.1969 0.3636  4 O 1.49-1.62
P: 0.7466 0.3636 0.1969  4 O 1.49-1.62
P: 0.7534 0.8031 0.6364  4 O 1.49-1.62
O: 0.5205 0.6793 0.6489  2 P 1.62
O: 0.9795 0.3511 0.3207  2 P 1.62
O: 0.4795 0.3207 0.3511  2 P 1.62
O: 0.0205 0.6489 0.6793  2 P 1.62
O: 0.8244 0.8733 0.4412  1 P 1.49
O: 0.6756 0.5588 0.1267  1 P 1.49
O: 0.1756 0.1267 0.5588  1 P 1.49
O: 0.3244 0.4412 0.8733  1 P 1.49
O: 0.1639 0.7920 0.9403  1 P 1.52
O: 0.3361 0.0597 0.2080  1 P 1.52
O: 0.8361 0.2080 0.0597  1 P 1.52
O: 0.6639 0.9403 0.7920  1 P 1.52

no.,magnetic moment (μB/f.u.)
1,0.0
2,0.0
3,0.0
4,4.0
5,0.0
6,0.0
7,0.0
8,0.0